A geometry-optimized Cr2HgRh structure. Source: Alexandria, functional PBE-GGA.

- N(E_F) (states/eV/atom) = 1.459
- VASP energy (eV per atom) = -6.4614
- mass density (g/cm³) = 10.8
- ΔH_f (0 K) (eV/atom) = 0.2636

a = 3.9870 Å, b = 3.9870 Å, c = 7.9036 Å
α = 90.00°, β = 90.00°, γ = 90.00°
Space group I-4m2 (No. 119)
Inequivalent atoms, fractional coordinates:
Cr1 0.0000 0.0000 0.0000
Cr2 0.0000 0.5000 0.2500
Hg1 0.0000 0.5000 0.7500
Rh1 0.0000 0.0000 0.5000


A geometry-optimized CrHg2Rh structure. Source: Alexandria, functional PBE-GGA.

- N(E_F) (states/eV/atom) = 1.151
- VASP energy (eV per atom) = -4.0241
- mass density (g/cm³) = 12.8
- ΔH_f (0 K) (eV/atom) = 0.3705

a = 6.6012 Å, b = 6.6012 Å, c = 6.6012 Å
α = 90.00°, β = 90.00°, γ = 90.00°
Space group F-43m (No. 216)
Inequivalent atoms, fractional coordinates:
Cr1 0.0000 0.0000 0.0000
Hg1 0.0000 0.0000 0.5000
Hg2 0.2500 0.2500 0.2500
Rh1 0.2500 0.2500 0.7500


A geometry-optimized CrHg2Rh structure. Source: Alexandria, functional PBE-GGA.

- N(E_F) (states/eV/atom) = 0.529
- VASP energy (eV per atom) = -4.1140
- mass density (g/cm³) = 12.9
- ΔH_f (0 K) (eV/atom) = 0.2806

a = 3.1574 Å, b = 3.7709 Å, c = 6.0071 Å
α = 90.00°, β = 90.20°, γ = 90.00°
Space group P2/m (No. 10)
Inequivalent atoms, fractional coordinates:
Cr1 0.0000 0.0000 0.0000
Hg1 0.4998 0.5000 0.2531
Rh1 0.0000 0.0000 0.5000


A geometry-optimized CrHgRh structure. Source: Alexandria, functional PBE-GGA.

- N(E_F) (states/eV/atom) = 1.548
- VASP energy (eV per atom) = -5.2492
- mass density (g/cm³) = 9.9
- ΔH_f (0 K) (eV/atom) = 0.5096

a = 6.2011 Å, b = 6.2011 Å, c = 6.2011 Å
α = 90.00°, β = 90.00°, γ = 90.00°
Space group F-43m (No. 216)
Inequivalent atoms, fractional coordinates:
Cr1 0.0000 0.0000 0.0000
Hg1 0.0000 0.0000 0.5000
Rh1 0.2500 0.2500 0.2500


A geometry-optimized Cr2HgRh structure. Source: Alexandria, functional PBE-GGA.

- N(E_F) (states/eV/atom) = 1.402
- VASP energy (eV per atom) = -6.4159
- mass density (g/cm³) = 10.6
- ΔH_f (0 K) (eV/atom) = 0.3091

a = 6.3354 Å, b = 6.3354 Å, c = 6.3354 Å
α = 90.00°, β = 90.00°, γ = 90.00°
Space group F-43m (No. 216)
Inequivalent atoms, fractional coordinates:
Cr1 0.0000 0.0000 0.0000
Cr2 0.2500 0.2500 0.2500
Hg1 0.0000 0.0000 0.5000
Rh1 0.2500 0.2500 0.7500


A geometry-optimized CrHg2Rh structure. Source: Alexandria, functional PBE-GGA.

- N(E_F) (states/eV/atom) = 0.570
- VASP energy (eV per atom) = -4.1468
- mass density (g/cm³) = 13.0
- ΔH_f (0 K) (eV/atom) = 0.2478

a = 4.2395 Å, b = 4.2395 Å, c = 7.9125 Å
α = 90.00°, β = 90.00°, γ = 90.00°
Space group I4/mmm (No. 139)
Inequivalent atoms, fractional coordinates:
Cr1 0.0000 0.0000 0.0000
Hg1 0.0000 0.5000 0.2500
Rh1 0.0000 0.0000 0.5000


A geometry-optimized CrHg3Rh structure. Source: Alexandria, functional PBE-GGA.

- N(E_F) (states/eV/atom) = 0.522
- VASP energy (eV per atom) = -2.9101
- mass density (g/cm³) = 9.0
- ΔH_f (0 K) (eV/atom) = 0.6659

a = 5.1954 Å, b = 5.1954 Å, c = 5.1954 Å
α = 90.00°, β = 90.00°, γ = 90.00°
Space group Pm-3m (No. 221)
Inequivalent atoms, fractional coordinates:
Cr1 0.0000 0.0000 0.0000
Hg1 0.0000 0.5000 0.5000
Rh1 0.5000 0.5000 0.5000


A geometry-optimized Cr2HgRh structure. Source: Alexandria, functional PBE-GGA.

- N(E_F) (states/eV/atom) = 0.965
- VASP energy (eV per atom) = -6.3119
- mass density (g/cm³) = 10.5
- ΔH_f (0 K) (eV/atom) = 0.4131

a = 4.4293 Å, b = 4.4293 Å, c = 3.2933 Å
α = 90.00°, β = 90.00°, γ = 90.00°
Space group P4/mmm (No. 123)
Inequivalent atoms, fractional coordinates:
Cr1 0.0000 0.5000 0.0000
Hg1 0.0000 0.0000 0.5000
Rh1 0.5000 0.5000 0.5000